Entry 1:
Here is a relaxed structure of Li4SmZn12 from Alexandria. Energies are from GGA-PBE.

The space group is Im-3 (No. 204) and the conventional cell measures 8.6362, 8.6362 and 8.6362 Å, with angles of 90.00, 90.00 and 90.00 degrees. The asymmetric unit holds Li at (0.2500, 0.2500, 0.2500), Sm at (0.0000, 0.0000, 0.0000) and Zn at (0.0000, 0.3542, 0.1498).

The spin magnetization comes out at 0.00 μB/f.u. The formation energy is 15.9 kJ/mol of atoms. As for the total energy: -1.462 eV per atom.

***

Entry 2:
Here is a relaxed structure of Li5Sm2Zn12 from Alexandria. Energies are from GGA-PBE.

The space group is R-3m (No. 166, hexagonal axes) and the conventional cell measures 9.0520, 9.0520 and 13.1953 Å, with angles of 90.00, 90.00 and 120.00 degrees. The asymmetric unit holds Li at (0.0000, 0.0000, 0.0963), Li at (0.0000, 0.5000, 0.5000), Sm at (0.0000, 0.0000, 0.3458), Zn at (0.0000, 0.2952, 0.0000) and Zn at (0.0015, 0.5007, 0.1529).

The spin magnetization comes out at 0.00 μB/f.u. The formation energy is -24.1 kJ/mol of atoms. As for the total energy: -2.055 eV per atom.

***

Entry 3:
Here is a relaxed structure of LiSm8Zn2 from Alexandria. Energies are from GGA-PBE.

The space group is C2/m (No. 12) and the conventional cell measures 18.0839, 5.2052 and 7.0548 Å, with angles of 90.00, 105.95 and 90.00 degrees. The asymmetric unit holds Li at (0.0000, 0.0000, 0.0000), Sm at (0.0288, 0.5000, 0.7664), Sm at (0.0923, 0.0000, 0.4668), Sm at (0.1675, 0.0000, 0.9698), Sm at (0.1943, 0.5000, 0.3086) and Zn at (0.1877, 0.5000, 0.7199).

The spin magnetization comes out at 0.00 μB/f.u. The formation energy is -5.5 kJ/mol of atoms. As for the total energy: -3.895 eV per atom.